The following is a DFT calculation (GGA-PBE) of LiTbNiTe3 after structural relaxation.

Lattice parameters (Å, degrees): 12.241 4.152 11.891 90.00 90.00 90.00
Atoms (fractional coordinates):
Li 0.235 0.250 0.058
Li 0.265 0.750 0.558
Li 0.735 0.250 0.442
Li 0.765 0.750 0.942
Tb 0.054 0.250 0.301
Tb 0.446 0.750 0.801
Tb 0.554 0.250 0.199
Tb 0.946 0.750 0.699
Ni 0.247 0.750 0.226
Ni 0.253 0.250 0.726
Ni 0.747 0.750 0.274
Ni 0.753 0.250 0.774
Te 0.074 0.750 0.112
Te 0.096 0.250 0.578
Te 0.189 0.750 0.824
Te 0.311 0.250 0.324
Te 0.404 0.750 0.078
Te 0.426 0.250 0.612
Te 0.574 0.750 0.388
Te 0.596 0.250 0.922
Te 0.689 0.750 0.676
Te 0.811 0.250 0.176
Te 0.904 0.750 0.422
Te 0.926 0.250 0.888

## Properties
ρ (Mg/m³): 6.67
Calculated volume (Å³ per atom): 25.185
Offset from the most stable computed form (meV/atom): 4
Crystal system: orthorhombic